VASP calculation (PBE+U) on a geometry-optimized K2Na3WO6 structure.

The total energy is -0.1938 Ha/atom.

The space group is C2/m (No. 12) and the conventional cell measures 6.277, 11.161 and 5.799 Å, with angles of 90.00, 111.89 and 90.00 degrees. Symmetry generates all atoms from K at (0.000, 0.171, 0.000), Na at (0.000, 0.000, 0.500), Na at (0.000, 0.357, 0.500), W at (0.000, 0.500, 0.000), O at (0.193, 0.500, 0.801) and O at (0.196, 0.376, 0.223).